No. 1
# Ba2GdN

An optimized crystal structure of Ba2GdN (GGA-PBE, Alexandria via LeMat-Bulk).

**Space group**: R-3m (166)
**Energy relative to the elements, uncorrected**: -0.32 eV/f.u.
**Magnetic moment**: 8.7 μB/cell

Unit cell a=3.891 b=3.891 c=11.227 alpha=80.02 beta=80.02 gamma=60.00
Last column: magnetic moment on the atom in μB.
Fractional positions:
1 Ba 0.880 0.880 0.360  0.04
2 Ba 0.120 0.120 0.640  0.04
3 Gd 0.000 0.000 0.000  7.40
4 N 0.500 0.500 0.500  0.02

=====

No. 2
# BaGdN

An optimized crystal structure of BaGdN (GGA-PBE, Alexandria via LeMat-Bulk).

**Space group**: P3m1 (156)
**Energy relative to the elements, uncorrected**: -2.12 eV/f.u.
**Magnetic moment**: 7.1 μB/cell

Unit cell a=6.967 b=3.738 c=3.738 alpha=120.00 beta=90.00 gamma=90.00
Last column: magnetic moment on the atom in μB.
Fractional positions:
1 Ba 0.575 0.667 0.333  0.00
2 N 0.275 0.333 0.667  -0.06
3 Gd 0.149 0.000 0.000  7.00

=====

No. 3
# BaNa4Gd

An optimized crystal structure of BaNa4Gd (GGA-PBE, Alexandria via LeMat-Bulk).

**Space group**: F-43m (216)
**Calculated formation energy**: 17 kJ/mol of atoms
**Magnetic moment**: 8.0 μB/cell

Unit cell a=6.942 b=6.942 c=6.942 alpha=60.00 beta=60.00 gamma=60.00
Last column: magnetic moment on the atom in μB.
Fractional positions:
1 Gd 0.000 0.000 0.000  7.14
2 Na 0.626 0.121 0.626  0.00
3 Ba 0.250 0.250 0.250  0.05
4 Na 0.626 0.626 0.626  0.00
5 Na 0.626 0.626 0.121  0.00
6 Na 0.121 0.626 0.626  0.00

=====

No. 4
# BaNa2Gd

An optimized crystal structure of BaNa2Gd (GGA-PBE, Alexandria via LeMat-Bulk).

**Space group**: R-3m (166)
**Calculated formation energy**: 32 kJ/mol of atoms
**Magnetic moment**: 8.0 μB/cell

Unit cell a=3.741 b=3.741 c=14.079 alpha=82.37 beta=82.37 gamma=60.00
Last column: magnetic moment on the atom in μB.
Fractional positions:
1 Na 0.915 0.915 0.255  0.00
2 Ba 0.500 0.500 0.500  0.02
3 Na 0.085 0.085 0.745  0.00
4 Gd 0.000 0.000 0.000  7.32

=====

No. 5
# BaNaGdSn

An optimized crystal structure of BaNaGdSn (GGA-PBE, Alexandria via LeMat-Bulk).

**Space group**: F-43m (216)
**Calculated formation energy**: -25 kJ/mol of atoms
**Magnetic moment**: 7.4 μB/cell

Unit cell a=5.751 b=5.751 c=5.751 alpha=60.00 beta=60.00 gamma=60.00
Last column: magnetic moment on the atom in μB.
Fractional positions:
1 Sn 0.250 0.250 0.250  -0.07
2 Gd 0.000 0.000 0.000  7.09
3 Ba 0.500 0.500 0.500  0.04
4 Na 0.750 0.750 0.750  0.00

=====

No. 6
# BaNaGdTl

An optimized crystal structure of BaNaGdTl (GGA-PBE, Alexandria via LeMat-Bulk).

**Space group**: F-43m (216)
**Calculated formation energy**: -5 kJ/mol of atoms
**Magnetic moment**: 7.5 μB/cell

Unit cell a=5.837 b=5.837 c=5.837 alpha=60.00 beta=60.00 gamma=60.00
Last column: magnetic moment on the atom in μB.
Fractional positions:
1 Ba 0.750 0.750 0.750  -0.02
2 Na 0.000 0.000 0.000  -0.01
3 Gd 0.250 0.250 0.250  -7.10
4 Tl 0.500 0.500 0.500  -0.01

=====

No. 7
# BaSrGdNbO6

An optimized crystal structure of BaSrGdNbO6 (GGA-PBE, Alexandria via LeMat-Bulk).

**Space group**: P-1 (2)
**Energy relative to the elements, uncorrected**: -30.06 eV/f.u.
**Magnetic moment**: 13.9 μB/cell
**Distance to the lowest polymorph of the same formula**: 0 meV per atom

Unit cell a=6.003 b=6.019 c=8.495 alpha=90.27 beta=90.25 gamma=89.77
Last column: magnetic moment on the atom in μB.
Fractional positions:
1 O 0.425 0.011 0.234  -0.01
2 O 0.293 0.738 0.974  0.00
3 O 0.734 0.296 0.480  0.00
4 Ba 0.505 0.518 0.250  0.00
5 O 0.707 0.262 0.026  0.00
6 Ba 0.495 0.482 0.750  0.00
7 Nb 0.500 0.000 0.000  0.01
8 O 0.575 0.989 0.766  -0.01
9 O 0.944 0.542 0.734  0.00
10 O 0.236 0.204 0.953  -0.01
11 Sr 0.004 0.974 0.749  0.00
12 Gd 0.500 0.000 0.500  6.90
13 O 0.803 0.771 0.455  -0.01
14 O 0.266 0.704 0.520  0.00
15 O 0.197 0.229 0.545  -0.01
16 O 0.764 0.796 0.047  -0.01
17 O 0.056 0.458 0.266  0.00
18 Gd 0.000 0.500 0.000  6.90
19 Nb 0.000 0.500 0.500  0.01
20 Sr 0.996 0.026 0.251  0.00

=====

No. 8
# BaSrGdNbO6

An optimized crystal structure of BaSrGdNbO6 (GGA-PBE, Alexandria via LeMat-Bulk).

**Space group**: F-43m (216)
**Energy relative to the elements, uncorrected**: -29.70 eV/f.u.
**Magnetic moment**: 7.0 μB/cell
**Distance to the lowest polymorph of the same formula**: 36 meV per atom

Unit cell a=6.051 b=6.051 c=6.051 alpha=60.00 beta=60.00 gamma=60.00
Last column: magnetic moment on the atom in μB.
Fractional positions:
1 O 0.736 0.736 0.264  0.00
2 Gd 0.000 0.000 0.000  6.89
3 O 0.264 0.264 0.736  0.00
4 O 0.736 0.264 0.736  0.00
5 O 0.736 0.264 0.264  0.00
6 Ba 0.250 0.250 0.250  0.00
7 O 0.264 0.736 0.736  0.00
8 O 0.264 0.736 0.264  0.00
9 Nb 0.500 0.500 0.500  0.02
10 Sr 0.750 0.750 0.750  0.00

=====

No. 9
# BaNdGd

An optimized crystal structure of BaNdGd (GGA-PBE, Alexandria via LeMat-Bulk).

**Space group**: P3m1 (156)
**Calculated formation energy**: 14 kJ/mol of atoms
**Magnetic moment**: 7.6 μB/cell
**Distance to the lowest polymorph of the same formula**: 20 meV per atom

Unit cell a=3.826 b=3.826 c=9.501 alpha=90.00 beta=90.00 gamma=120.00
Last column: magnetic moment on the atom in μB.
Fractional positions:
1 Gd 0.667 0.333 0.353  7.26
2 Ba 0.000 0.000 0.002  0.00
3 Nd 0.333 0.667 0.645  -0.04

=====

No. 10
# BaNd2Gd

An optimized crystal structure of BaNd2Gd (GGA-PBE, Alexandria via LeMat-Bulk).

**Space group**: P4/mmm (123)
**Calculated formation energy**: 19 kJ/mol of atoms
**Magnetic moment**: 7.8 μB/cell
**Distance to the lowest polymorph of the same formula**: 85 meV per atom

Unit cell a=5.386 b=5.344 c=5.344 alpha=90.00 beta=90.00 gamma=90.00
Last column: magnetic moment on the atom in μB.
Fractional positions:
1 Gd 0.500 0.000 0.000  7.21
2 Ba 0.500 0.500 0.500  0.01
3 Nd 0.000 0.500 0.000  0.04
4 Nd 0.000 0.000 0.500  0.04

=====

No. 11
# BaNdGd2

An optimized crystal structure of BaNdGd2 (GGA-PBE, Alexandria via LeMat-Bulk).

**Space group**: P4/mmm (123)
**Calculated formation energy**: 12 kJ/mol of atoms
**Magnetic moment**: 15.1 μB/cell
**Distance to the lowest polymorph of the same formula**: 0 meV per atom

Unit cell a=3.743 b=3.743 c=10.951 alpha=90.00 beta=90.00 gamma=90.00
Last column: magnetic moment on the atom in μB.
Fractional positions:
1 Gd 0.000 0.000 0.782  7.21
2 Nd 0.500 0.500 0.000  0.00
3 Gd 0.000 0.000 0.218  7.21
4 Ba 0.500 0.500 0.500  0.03

=====

No. 12
# BaNd2Gd

An optimized crystal structure of BaNd2Gd (GGA-PBE, Alexandria via LeMat-Bulk).

**Space group**: R-3m (166)
**Calculated formation energy**: 12 kJ/mol of atoms
**Magnetic moment**: 7.3 μB/cell
**Distance to the lowest polymorph of the same formula**: 15 meV per atom

Unit cell a=3.772 b=3.772 c=12.747 alpha=81.49 beta=81.49 gamma=60.00
Last column: magnetic moment on the atom in μB.
Fractional positions:
1 Gd 0.500 0.500 0.500  7.17
2 Nd 0.243 0.243 0.271  -0.03
3 Ba 0.000 0.000 0.000  -0.01
4 Nd 0.757 0.757 0.729  -0.03

=====

Which value of magnetic moment does entry 9 give? 7.6 μB/cell